First-principles (PBE) data for a geometry-optimized Zn2TcAs structure, as listed in Alexandria.

- Energy relative to the elements: 0.21 eV per atom
- Magnetization: 0.00 μB per cell

a = 3.1120 Å, b = 4.8404 Å, c = 8.8123 Å
α = 90.00°, β = 90.00°, γ = 90.00°
With the nearest neighbours (Å) after each atom.
Space group Cmm2 (No. 35)
Symmetry-distinct sites (fractional):
Zn (0.0000, 0.0000, 0.0000) (multiplicity 2)  2 Tc 2.63, 6 Zn 2.67-2.88
Zn (0.0000, 0.5000, 0.2463) (multiplicity 2)  6 Zn 2.67-2.88
Tc (0.0000, 0.5000, 0.7588) (multiplicity 2)  2 As 2.45, 2 Zn 2.63
As (0.0000, 0.0000, 0.5442) (multiplicity 2)  2 Tc 2.45